No. 1
A relaxed AcMgNiPd crystal. Source: Alexandria via LeMat-Bulk, functional PBE.

Computed properties:
* formation enthalpy at 0 K: -479.4 meV/atom
* energy relative to the lowest polymorph listed for this composition: 0.000 eV per atom

extended XYZ file:
```
4
Lattice="4.4939 0.0000 0.0000 -2.2469 3.8916 -0.0039 0.0000 -2.5924 5.1138" Properties=species:S:1:pos:R:3 pbc="T T T"
Ac 2.2469 -0.3666 2.5062
Mg 0.0000 0.9283 0.0040
Ni 2.2469 2.2253 0.5188
Pd 0.0000 0.9299 4.4671
```

---

No. 2
A relaxed ScAl2Si crystal. Source: Alexandria via LeMat-Bulk, functional PBE.

Computed properties:
* formation energy (no corrections): -0.2386 eV/atom

extended XYZ file:
```
4
Lattice="3.1581 0.0000 0.0000 0.0000 3.6879 0.0000 0.0000 0.0000 5.9266" Properties=species:S:1:pos:R:3 pbc="T T T"
Si 1.5790 1.8440 4.5812
Sc 0.0000 0.0000 3.0266
Al 0.0000 0.0000 5.8847
Al 1.5790 1.8440 1.3240
```

---

No. 3
A relaxed Zn2CoCl crystal. Source: Alexandria via LeMat-Bulk, functional PBE.

Computed properties:
* formation energy (no corrections): 0.6489 eV/atom
* energy relative to the lowest polymorph listed for this composition: 0.710 eV per atom

extended XYZ file:
```
4
Lattice="-4.3425 -1.0876 0.5792 -3.2206 3.0545 -0.8208 -2.7041 -0.4785 -3.5826" Properties=species:S:1:pos:R:3 pbc="T T T"
Zn -2.5668 0.3721 -0.9561
Zn -7.7004 1.1163 -2.8682
Cl 0.0000 0.0000 0.0000
Co -5.1336 0.7442 -1.9121
```

---

No. 4
A relaxed Ag2PW crystal. Source: Alexandria via LeMat-Bulk, functional PBE.

Computed properties:
* formation enthalpy at 0 K: 525.6 meV/atom

extended XYZ file:
```
4
Lattice="5.5441 0.0341 -0.0749 -3.2227 4.5114 -0.0749 0.3853 0.7544 2.6057" Properties=species:S:1:pos:R:3 pbc="T T T"
P 2.9647 0.3942 1.2654
Ag 0.0000 0.0000 0.0000
Ag 1.1607 2.2728 -0.0749
W -1.4187 2.6329 1.2654
```

---

No. 5
A relaxed LiLaOs crystal. Source: Alexandria via LeMat-Bulk, functional PBE.

Computed properties:
* formation enthalpy at 0 K: 245.7 meV/atom
* energy relative to the lowest polymorph listed for this composition: 0.186 eV per atom

extended XYZ file:
```
3
Lattice="-4.6032 0.8460 2.4854 -2.6368 -3.7814 2.6136 4.8644 2.0549 -0.4445" Properties=species:S:1:pos:R:3 pbc="T T T"
Li -2.1904 -0.8881 1.5426
La -0.0620 -0.0251 0.0437
Os -4.9876 -2.0222 3.5126
```

---

No. 6
A relaxed MoPt2 crystal. Source: Alexandria via LeMat-Bulk, functional PBE.

Computed properties:
* formation enthalpy at 0 K: -305.3 meV/atom
* energy relative to the lowest polymorph listed for this composition: 0.074 eV per atom

extended XYZ file:
```
12
Lattice="-2.2807 -1.5143 3.9785 3.9067 0.1710 2.3047 -1.6144 8.0518 2.1393" Properties=species:S:1:pos:R:3 pbc="T T T"
Mo 1.6455 2.3449 3.7414
Mo -1.6340 4.3635 4.6810
Mo 0.7842 0.1959 5.3608
Mo -0.7727 6.5126 3.0616
Pt 0.2466 2.8685 6.0740
Pt -0.3155 5.5860 6.8251
Pt -0.2351 3.8399 2.3485
Pt -2.1686 7.0383 5.3887
Pt 2.1800 -0.3299 3.0338
Pt -1.0858 1.7241 3.9476
Pt 0.3270 1.1224 1.5973
Pt 1.0973 4.9843 4.4748
```

---

No. 7
A relaxed Sc2PtBr crystal. Source: Alexandria via LeMat-Bulk, functional PBE.

Computed properties:
* formation energy (no corrections): -0.7778 eV/atom
* energy relative to the lowest polymorph listed for this composition: 0.318 eV per atom

extended XYZ file:
```
4
Lattice="-0.3414 -4.9262 0.6132 4.8987 0.2015 0.8497 -0.5533 0.4239 3.0711" Properties=species:S:1:pos:R:3 pbc="T T T"
Sc 2.2787 -2.3624 0.7315
Sc 0.0000 0.0000 0.0000
Pt 2.1727 0.3127 1.9604
Br -0.4474 -2.2512 1.8422
```

---

No. 8
A relaxed LaMgH8Ir2 crystal. Source: Alexandria via LeMat-Bulk, functional PBE.

Computed properties:
* raw total energy: -53.615 eV/cell

extended XYZ file:
```
12
Lattice="-1.0390 3.5264 -3.1577 -2.4929 -1.0135 -4.0304 -6.0748 1.8738 0.3726" Properties=species:S:1:pos:R:3 pbc="T T T"
La -4.8034 2.1933 -3.4078
H -6.4165 3.1232 -5.5574
H -2.4041 2.0392 -3.2222
H -7.2027 2.3474 -3.5934
H -3.1902 1.2635 -1.2581
H -3.5384 0.5859 -4.6847
H -6.2558 1.5143 -1.6066
H -3.3510 2.8723 -5.2089
H -6.0684 3.8008 -2.1308
Ir -7.8751 3.4318 -4.7328
Ir -1.7316 0.9549 -2.0827
Mg 0.0000 0.0000 0.0000
```

---

Please write out number 5 again, unchanged.
A relaxed LiLaOs crystal. Source: Alexandria via LeMat-Bulk, functional PBE.

Computed properties:
* formation enthalpy at 0 K: 245.7 meV/atom
* energy relative to the lowest polymorph listed for this composition: 0.186 eV per atom

extended XYZ file:
```
3
Lattice="-4.6032 0.8460 2.4854 -2.6368 -3.7814 2.6136 4.8644 2.0549 -0.4445" Properties=species:S:1:pos:R:3 pbc="T T T"
Li -2.1904 -0.8881 1.5426
La -0.0620 -0.0251 0.0437
Os -4.9876 -2.0222 3.5126
```